1.
## Rb2Cu2GeCl6 (GGA-PBE)

Data for an optimized crystal structure of Rb2Cu2GeCl6.

POSCAR file:
```
Rb2Cu2GeCl6
1.0
7.420 0.000 0.000
-3.710 6.356 -0.106
0.000 -3.772 6.628
Rb Cu Ge Cl
2 2 1 6
direct
0.727 0.455 0.207
0.273 0.545 0.793
0.947 0.895 0.793
0.053 0.105 0.207
0.500 0.000 0.500
0.743 0.486 0.660
0.215 0.919 0.211
0.296 0.081 0.789
0.785 0.081 0.789
0.704 0.919 0.211
0.257 0.514 0.340
```

Summary:
ΔE_f (raw): -1.088 eV/atom
DOS(E_F): 0.000 states/eV/cell
total DFT energy (no corrections): -3.44 eV/atom
magnetization: 0.000 μB per atom
mass density: 3.1 g cm⁻³

---

2.
## Ce6SiSe5 (GGA-PBE)

Data for an optimized crystal structure of Ce6SiSe5.

POSCAR file:
```
Ce6SiSe5
1.0
7.199 0.175 1.093
1.768 6.106 3.559
0.120 0.065 7.284
Si Se Ce
1 5 6
direct
0.000 0.000 0.000
0.500 0.168 0.664
0.000 0.333 0.333
0.500 0.500 0.000
0.000 0.667 0.667
0.500 0.832 0.336
0.754 0.082 0.328
0.246 0.590 0.328
0.247 0.246 0.000
0.753 0.754 0.000
0.754 0.410 0.672
0.246 0.918 0.672
```

Summary:
ΔE_f (raw): -1.636 eV/atom
DOS(E_F): 34.097 states/eV/cell
total DFT energy (no corrections): -6.51 eV/atom
magnetization: 0.430 μB per atom
mass density: 6.6 g cm⁻³

---

3.
## HfGe3W (GGA-PBE)

Data for an optimized crystal structure of HfGe3W.

POSCAR file:
```
HfGe3W
1.0
-2.065 3.497 -2.639
-3.956 -0.235 2.784
1.882 3.343 2.956
Ge Hf W
3 1 1
direct
0.000 0.500 0.000
0.000 0.000 0.500
0.500 0.000 0.000
0.500 0.500 0.500
0.000 0.000 0.000
```

Summary:
ΔE_f: 3.9 eV/f.u.
DOS(E_F): 4.187 states/eV/cell
total DFT energy (no corrections): -6.58 eV/atom
magnetization: 0.000 μB per atom
mass density: 8.5 g cm⁻³

---

4.
## NdSmAu (GGA-PBE)

Data for an optimized crystal structure of NdSmAu.

POSCAR file:
```
NdSmAu
1.0
-3.546 5.930 -1.141
-4.043 -3.243 -4.292
-4.106 -1.248 6.276
Au Sm Nd
4 4 4
direct
0.547 0.587 0.328
0.953 0.587 0.828
0.047 0.413 0.172
0.453 0.413 0.672
0.838 0.849 0.166
0.662 0.849 0.666
0.338 0.151 0.334
0.162 0.151 0.834
0.332 0.704 0.006
0.168 0.704 0.506
0.832 0.296 0.494
0.668 0.296 0.994
```

Summary:
ΔE_f: -1.4 eV/f.u.
DOS(E_F): 14.094 states/eV/cell
total DFT energy (no corrections): -4.73 eV/atom
magnetization: 0.000 μB per atom
mass density: 9.2 g cm⁻³

---

5.
## NaGeRh2 (GGA-PBE)

Data for an optimized crystal structure of NaGeRh2.

POSCAR file:
```
NaGeRh2
1.0
7.168 0.000 0.000
0.000 7.168 0.000
3.584 3.584 2.787
Na Ge Rh
2 2 4
direct
0.500 0.500 0.000
0.250 0.750 0.500
0.000 0.000 0.000
0.750 0.250 0.500
0.686 0.125 0.250
0.064 0.625 0.250
0.375 0.314 0.750
0.875 0.936 0.750
```

Summary:
ΔE_f: 0.3 eV/f.u.
DOS(E_F): 4.041 states/eV/cell
total DFT energy (no corrections): -5.09 eV/atom
magnetization: 0.000 μB per atom
mass density: 7.0 g cm⁻³

---

6.
## AgAu2Se (GGA-PBE)

Data for an optimized crystal structure of AgAu2Se.

POSCAR file:
```
AgAu2Se
1.0
-0.198 -5.465 -0.308
1.744 -4.686 -2.238
3.684 -0.600 3.464
Ag Au Se
1 2 1
direct
0.250 0.250 0.250
0.985 0.985 0.007
0.515 0.515 0.493
0.750 0.750 0.750
```

Summary:
ΔE_f (raw): 0.133 eV/atom
DOS(E_F): 1.057 states/eV/cell
total DFT energy (no corrections): -3.09 eV/atom
magnetization: 0.000 μB per atom
mass density: 12.6 g cm⁻³

---

7.
## Sb2PbSe (GGA-PBE)

Data for an optimized crystal structure of Sb2PbSe.

POSCAR file:
```
Sb2PbSe
1.0
-0.611 4.262 -4.277
2.072 -2.600 -2.888
-3.897 -1.775 -1.212
Pb Sb Se
1 2 1
direct
0.500 0.750 0.750
0.000 0.999 0.038
0.000 0.501 0.462
0.500 0.250 0.250
```

Summary:
ΔE_f (raw): -0.033 eV/atom
DOS(E_F): 1.340 states/eV/cell
total DFT energy (no corrections): -3.89 eV/atom
magnetization: 0.000 μB per atom
mass density: 7.4 g cm⁻³

---

8.
## AcPrInBr (GGA-PBE)

Data for an optimized crystal structure of AcPrInBr.

POSCAR file:
```
AcPrInBr
1.0
-1.169 -2.904 4.704
3.643 0.034 4.320
-1.295 2.745 4.766
Pr Ac Br In
1 1 1 1
direct
0.500 0.500 0.500
0.000 0.000 0.000
0.250 0.250 0.250
0.750 0.750 0.750
```

Summary:
ΔE_f (raw): -0.687 eV/atom
DOS(E_F): 3.160 states/eV/cell
total DFT energy (no corrections): -4.01 eV/atom
magnetization: 0.000 μB per atom
mass density: 7.3 g cm⁻³

---

9.
## Ac3HfB2N6 (GGA-PBE)

Data for an optimized crystal structure of Ac3HfB2N6.

POSCAR file:
```
Ac3HfB2N6
1.0
-5.021 1.830 1.634
3.369 -2.554 3.655
2.733 6.004 1.676
Ac Hf B N
3 1 2 6
direct
0.333 0.667 0.677
0.667 0.333 0.323
0.000 0.000 0.000
0.000 0.000 0.500
0.667 0.333 0.723
0.333 0.667 0.277
0.638 0.819 0.304
0.181 0.362 0.304
0.181 0.819 0.304
0.819 0.638 0.696
0.362 0.181 0.696
0.819 0.181 0.696
```

Summary:
ΔE_f (raw): -1.236 eV/atom
DOS(E_F): 1.144 states/eV/cell
total DFT energy (no corrections): -8.37 eV/atom
magnetization: 0.000 μB per atom
mass density: 8.7 g cm⁻³

---

10.
## BaCdF3 (GGA-PBE)

Data for an optimized crystal structure of BaCdF3.

POSCAR file:
```
BaCdF3
1.0
-2.125 4.355 -1.544
-4.606 -1.861 1.089
0.367 1.854 4.722
F Ba Cd
3 1 1
direct
0.000 0.500 0.000
0.000 0.000 0.500
0.500 0.000 0.000
0.000 0.000 0.000
0.500 0.500 0.500
```

Summary:
ΔE_f (raw): -2.406 eV/atom
DOS(E_F): 2.628 states/eV/cell
total DFT energy (no corrections): -4.10 eV/atom
magnetization: 0.180 μB per atom
mass density: 3.9 g cm⁻³

---

11.
## K4Ag3F10 (GGA-PBE)

Data for an optimized crystal structure of K4Ag3F10.

POSCAR file:
```
K4Ag3F10
1.0
4.358 0.000 -0.592
-0.080 4.357 -0.592
-0.080 -0.081 15.756
K Ag F
4 3 10
direct
0.570 0.570 0.139
0.430 0.430 0.861
0.297 0.297 0.595
0.703 0.703 0.405
0.142 0.142 0.284
0.858 0.858 0.716
0.000 0.000 0.000
0.140 0.640 0.280
0.071 0.071 0.141
0.640 0.140 0.280
0.860 0.360 0.720
0.360 0.860 0.720
0.929 0.929 0.859
0.214 0.214 0.428
0.786 0.786 0.572
0.000 0.500 0.000
0.500 0.000 0.000
```

Summary:
ΔE_f (raw): -1.961 eV/atom
DOS(E_F): 5.620 states/eV/cell
total DFT energy (no corrections): -3.82 eV/atom
magnetization: 0.000 μB per atom
mass density: 3.7 g cm⁻³

---

12.
## Lu2AlC (GGA-PBE)

Data for an optimized crystal structure of Lu2AlC.

POSCAR file:
```
Lu2AlC
1.0
-1.490 1.184 2.906
-0.269 -2.065 2.780
6.308 2.199 4.414
C Lu Al
1 2 1
direct
0.500 0.500 0.500
0.777 0.777 0.670
0.223 0.223 0.330
0.000 0.000 0.000
```

Summary:
ΔE_f: -1.4 eV/f.u.
DOS(E_F): 3.054 states/eV/cell
total DFT energy (no corrections): -5.84 eV/atom
magnetization: 0.000 μB per atom
mass density: 8.0 g cm⁻³

---

13.
## HfMoS2 (GGA-PBE)

Data for an optimized crystal structure of HfMoS2.

POSCAR file:
```
HfMoS2
1.0
0.000 3.125 3.125
3.125 0.000 3.125
3.125 3.125 0.000
Mo Hf S
1 1 2
direct
0.000 0.000 0.000
0.500 0.500 0.500
0.250 0.250 0.250
0.750 0.750 0.750
```

Summary:
ΔE_f (raw): -0.573 eV/atom
DOS(E_F): 3.901 states/eV/cell
total DFT energy (no corrections): -7.83 eV/atom
magnetization: 0.334 μB per atom
mass density: 9.2 g cm⁻³

---

14.
## CdP2SCl (GGA-PBE)

Data for an optimized crystal structure of CdP2SCl.

POSCAR file:
```
CdP2SCl
1.0
4.610 0.000 0.000
0.000 4.610 0.000
0.000 0.000 5.030
P S Cl Cd
2 1 1 1
direct
0.000 0.500 0.000
0.500 0.000 0.000
0.000 0.000 0.000
0.000 0.000 0.500
0.500 0.500 0.500
```

Summary:
ΔE_f (raw): 0.688 eV/atom
DOS(E_F): 2.698 states/eV/cell
total DFT energy (no corrections): -2.85 eV/atom
magnetization: 0.137 μB per atom
mass density: 3.8 g cm⁻³

---

15.
## PmCuF5 (GGA-PBE)

Data for an optimized crystal structure of PmCuF5.

POSCAR file:
```
PmCuF5
1.0
5.714 -0.281 -0.067
1.546 5.508 -0.067
2.483 1.787 6.868
Pm Cu F
2 2 10
direct
0.561 0.439 0.250
0.439 0.561 0.750
0.000 0.000 0.000
0.000 0.000 0.500
0.811 0.736 0.120
0.304 0.660 0.466
0.736 0.811 0.620
0.895 0.105 0.250
0.340 0.696 0.034
0.660 0.304 0.966
0.105 0.895 0.750
0.264 0.189 0.380
0.696 0.340 0.534
0.189 0.264 0.880
```

Summary:
ΔE_f (raw): -2.959 eV/atom
DOS(E_F): 3.245 states/eV/cell
total DFT energy (no corrections): -5.56 eV/atom
magnetization: 0.143 μB per atom
mass density: 4.6 g cm⁻³

---

16.
## Li2Ag2Sn (GGA-PBE)

Data for an optimized crystal structure of Li2Ag2Sn.

POSCAR file:
```
Li2Ag2Sn
1.0
-7.393 -0.301 0.329
0.279 -7.385 -0.490
0.152 -0.208 3.222
Sn Ag Li
2 4 4
direct
0.000 0.000 0.000
0.500 0.500 0.000
0.151 0.651 0.500
0.651 0.849 0.500
0.849 0.349 0.500
0.349 0.151 0.500
0.360 0.860 0.000
0.860 0.640 0.000
0.640 0.140 0.000
0.140 0.360 0.000
```

Summary:
ΔE_f: -0.8 eV/f.u.
DOS(E_F): 1.756 states/eV/cell
total DFT energy (no corrections): -2.87 eV/atom
magnetization: 0.000 μB per atom
mass density: 6.5 g cm⁻³

---

17.
## Li2CaTa (GGA-PBE)

Data for an optimized crystal structure of Li2CaTa.

POSCAR file:
```
Li2CaTa
1.0
-3.133 0.241 -4.880
-0.460 0.029 -5.786
-1.042 -5.040 -1.893
Ca Li Ta
1 2 1
direct
0.268 0.268 0.192
0.028 0.028 0.039
0.725 0.725 0.705
0.479 0.479 0.565
```

Summary:
ΔE_f: 2.4 eV/f.u.
DOS(E_F): 4.489 states/eV/cell
total DFT energy (no corrections): -3.81 eV/atom
magnetization: 0.197 μB per atom
mass density: 4.8 g cm⁻³

---

18.
## NaPa2F8 (GGA-PBE)

Data for an optimized crystal structure of NaPa2F8.

POSCAR file:
```
NaPa2F8
1.0
4.163 -0.635 -0.482
-0.791 6.680 0.350
-0.791 2.136 6.339
Na Pa F
1 2 8
direct
0.000 0.000 0.000
0.416 0.679 0.679
0.584 0.321 0.321
0.375 0.332 0.930
0.625 0.070 0.668
0.038 0.790 0.790
0.962 0.210 0.210
0.375 0.930 0.332
0.625 0.668 0.070
0.802 0.558 0.558
0.198 0.442 0.442
```

Summary:
ΔE_f (raw): -3.508 eV/atom
DOS(E_F): 7.731 states/eV/cell
total DFT energy (no corrections): -6.72 eV/atom
magnetization: 0.273 μB per atom
mass density: 6.3 g cm⁻³

---

19.
## Hf3TiN4 (GGA-PBE)

Data for an optimized crystal structure of Hf3TiN4.

POSCAR file:
```
Hf3TiN4
1.0
4.459 0.000 0.000
0.000 6.374 0.000
0.000 0.000 7.410
Hf Ti N
6 2 8
direct
0.564 0.847 0.000
0.064 0.667 0.247
0.564 0.333 0.253
0.064 0.153 0.500
0.564 0.333 0.747
0.064 0.667 0.753
0.064 0.182 0.000
0.564 0.818 0.500
0.064 0.856 0.000
0.564 0.180 0.000
0.064 0.328 0.255
0.564 0.672 0.245
0.064 0.820 0.500
0.564 0.144 0.500
0.564 0.672 0.755
0.064 0.328 0.745
```

Summary:
ΔE_f (raw): -1.595 eV/atom
DOS(E_F): 6.257 states/eV/cell
total DFT energy (no corrections): -10.48 eV/atom
magnetization: 0.000 μB per atom
mass density: 10.1 g cm⁻³

---

20.
## CoPbCl2 (GGA-PBE)

Data for an optimized crystal structure of CoPbCl2.

POSCAR file:
```
CoPbCl2
1.0
-2.822 2.084 0.345
-2.343 -2.758 -2.500
-2.990 -4.743 4.196
Pb Co Cl
1 1 2
direct
0.500 0.730 0.663
0.000 0.272 0.578
0.000 0.111 0.913
0.500 0.387 0.347
```

Summary:
ΔE_f (raw): -0.338 eV/atom
DOS(E_F): 3.358 states/eV/cell
total DFT energy (no corrections): -3.97 eV/atom
magnetization: 0.309 μB per atom
mass density: 5.4 g cm⁻³

---

21.
## CoSbRuI2 (GGA-PBE)

Data for an optimized crystal structure of CoSbRuI2.

POSCAR file:
```
CoSbRuI2
1.0
-2.160 3.414 3.398
-4.816 -1.470 -1.584
-0.071 -3.391 3.362
I Sb Co Ru
2 1 1 1
direct
0.000 0.500 0.000
0.500 0.000 0.000
0.000 0.000 0.500
0.000 0.000 0.000
0.500 0.500 0.500
```

Summary:
ΔE_f (raw): 1.100 eV/atom
DOS(E_F): 5.926 states/eV/cell
total DFT energy (no corrections): -3.62 eV/atom
magnetization: 0.593 μB per atom
mass density: 6.7 g cm⁻³

---

22.
## BaCuSb2 (GGA-PBE)

Data for an optimized crystal structure of BaCuSb2.

POSCAR file:
```
BaCuSb2
1.0
5.182 0.000 0.000
0.000 5.239 0.012
0.000 0.042 4.922
Ba Cu Sb
1 1 2
direct
0.000 0.523 0.449
0.500 0.911 0.795
0.000 0.019 0.958
0.500 0.046 0.299
```

Summary:
ΔE_f (raw): -0.371 eV/atom
DOS(E_F): 1.489 states/eV/cell
total DFT energy (no corrections): -3.94 eV/atom
magnetization: 0.000 μB per atom
mass density: 5.5 g cm⁻³

---

23.
## InSnClF2 (GGA-PBE)

Data for an optimized crystal structure of InSnClF2.

POSCAR file:
```
InSnClF2
1.0
-0.393 -0.757 4.577
-4.428 -1.309 -0.596
1.761 -5.605 -0.776
F Cl Sn In
2 1 1 1
direct
0.000 0.500 0.000
0.500 0.000 0.000
0.000 0.000 0.500
0.000 0.000 0.000
0.500 0.500 0.500
```

Summary:
ΔE_f (raw): -1.579 eV/atom
total DFT energy (no corrections): -4.05 eV/atom
magnetization: 0.000 μB per atom
mass density: 4.0 g cm⁻³

---

24.
## Pa2GaCo12H3 (GGA-PBE)

Data for an optimized crystal structure of Pa2GaCo12H3.

POSCAR file:
```
Pa2GaCo12H3
1.0
6.677 0.121 0.086
3.403 5.746 0.086
3.403 1.981 5.395
Pa Ga Co H
2 1 12 3
direct
0.604 0.604 0.604
0.396 0.396 0.396
0.000 0.000 0.000
0.278 0.278 0.895
0.855 0.855 0.457
0.457 0.855 0.855
0.895 0.278 0.278
0.855 0.457 0.855
0.278 0.895 0.278
0.722 0.722 0.105
0.145 0.145 0.543
0.543 0.145 0.145
0.105 0.722 0.722
0.145 0.543 0.145
0.722 0.105 0.722
0.500 0.000 0.000
0.000 0.500 0.000
0.000 0.000 0.500
```

Summary:
DOS(E_F): 19.121 states/eV/cell
total DFT energy (no corrections): -6.53 eV/atom
magnetization: 0.455 μB per atom
mass density: 10.2 g cm⁻³